## BeNiSe (PBE)

Data for a geometry-optimized BeNiSe structure.

The calculation puts the calculated total energy at -4.605 eV per atom. For the uncorrected formation energy, the calculation gives -0.275 eV/atom.

Cell: 3.350 3.974 7.284 Å, 90.05 90.18 114.90°
Space group P-1 (No. 2)
Unique sites:
1 Be 0.143 0.286 0.449
2 Ni 0.437 0.874 0.340
3 Se 0.259 0.517 0.786